1.
KYBi2 | GGA-PBEsol | optimized geometry

* theoretical density: 7388 kg/m³
* magnetization: 0.00 μB per cell
* energy: -4.512 eV/atom
* ΔE_f: -380.2 meV/atom

a = 5.578 Å, b = 5.578 Å, c = 5.578 Å
α = 60.00°, β = 60.00°, γ = 60.00°
Fractional coordinates of all 4 atoms:
K 0.000 0.000 0.000
Y 0.500 0.500 0.500
Bi 0.250 0.250 0.250
Bi 0.750 0.750 0.750

2.
LaBi | GGA-PBEsol | optimized geometry

* theoretical density: 8202 kg/m³
* magnetization: 0.00 μB per cell
* energy: -5.867 eV/atom
* ΔE_f: -1051.1 meV/atom

a = 4.636 Å, b = 4.636 Å, c = 4.636 Å
α = 60.00°, β = 60.00°, γ = 60.00°
Fractional coordinates of all 2 atoms:
La 0.000 0.000 0.000
Bi 0.500 0.500 0.500

3.
La5Bi3 | GGA-PBEsol | optimized geometry

* theoretical density: 8322 kg/m³
* magnetization: 0.00 μB per cell
* energy: -5.802 eV/atom
* ΔE_f: -853.7 meV/atom

a = 9.605 Å, b = 9.605 Å, c = 6.601 Å
α = 90.00°, β = 90.00°, γ = 120.00°
Fractional coordinates of all 16 atoms:
La 0.000 0.252 0.250
La 0.000 0.748 0.750
La 0.252 0.000 0.250
La 0.252 0.252 0.750
La 0.333 0.667 0.000
La 0.333 0.667 0.500
La 0.667 0.333 0.000
La 0.667 0.333 0.500
La 0.748 0.000 0.750
La 0.748 0.748 0.250
Bi 0.000 0.385 0.750
Bi 0.000 0.615 0.250
Bi 0.385 0.000 0.750
Bi 0.385 0.385 0.250
Bi 0.615 0.000 0.250
Bi 0.615 0.615 0.750

4.
La4Bi3 | GGA-PBEsol | optimized geometry

* theoretical density: 8524 kg/m³
* magnetization: 0.00 μB per cell
* energy: -5.836 eV/atom
* ΔE_f: -944.8 meV/atom

a = 8.428 Å, b = 8.428 Å, c = 8.428 Å
α = 109.47°, β = 109.47°, γ = 109.47°
Fractional coordinates of all 14 atoms:
La 0.000 0.356 0.500
La 0.000 0.856 0.500
La 0.144 0.144 0.144
La 0.356 0.500 0.000
La 0.500 0.000 0.356
La 0.500 0.000 0.856
La 0.644 0.644 0.644
La 0.856 0.500 0.000
Bi 0.125 0.750 0.875
Bi 0.250 0.625 0.375
Bi 0.375 0.250 0.625
Bi 0.625 0.375 0.250
Bi 0.750 0.875 0.125
Bi 0.875 0.125 0.750

5.
LiLaBi2 | GGA-PBEsol | optimized geometry

* theoretical density: 8587 kg/m³
* magnetization: 0.00 μB per cell
* energy: -4.753 eV/atom
* ΔE_f: -781.6 meV/atom

a = 4.530 Å, b = 4.530 Å, c = 10.628 Å
α = 90.00°, β = 90.00°, γ = 90.00°
Fractional coordinates of all 8 atoms:
Li 0.250 0.750 0.000
Li 0.750 0.250 0.000
La 0.250 0.250 0.255
La 0.750 0.750 0.745
Bi 0.250 0.250 0.838
Bi 0.250 0.750 0.500
Bi 0.750 0.250 0.500
Bi 0.750 0.750 0.162

6.
Li3LaBi2 | GGA-PBEsol | optimized geometry

* theoretical density: 6741 kg/m³
* magnetization: 0.00 μB per cell
* energy: -4.061 eV/atom
* ΔE_f: -758.4 meV/atom

a = 4.692 Å, b = 4.692 Å, c = 7.465 Å
α = 90.00°, β = 90.00°, γ = 120.00°
Fractional coordinates of all 6 atoms:
Li 0.000 0.000 0.000
Li 0.333 0.667 0.146
Li 0.667 0.333 0.854
La 0.000 0.000 0.500
Bi 0.333 0.667 0.755
Bi 0.667 0.333 0.245